No. 1
Here is crystalline VTcAs2Br at its relaxed geometry from Alexandria via LeMat-Bulk. Energies are from GGA-PBE.

Values from the calculation:
ΔE_f (raw): 707 meV per atom
crystal system: tetragonal

```
data_VTcAs2Br
_cell_length_a 4.705
_cell_length_b 4.705
_cell_length_c 5.470
_cell_angle_alpha 90.00
_cell_angle_beta 90.00
_cell_angle_gamma 90.00
_space_group_name_H-M_alt 'P 1'
_space_group_IT_number 1
loop_
_space_group_symop_operation_xyz
'x,y,z'
loop_
_atom_site_label
_atom_site_type_symbol
_atom_site_fract_x
_atom_site_fract_y
_atom_site_fract_z
_atom_site_occupancy
V1 V 0.000 0.000 0.000 1
Tc1 Tc 0.500 0.500 0.500 1
As1 As 0.000 0.500 0.500 1
As2 As 0.500 0.000 0.500 1
Br1 Br 0.500 0.500 0.000 1
```

---

No. 2
Here is crystalline Li4SiP at its relaxed geometry from Alexandria via LeMat-Bulk. Energies are from GGA-PBE.

Values from the calculation:
ΔE_f (raw): 113 meV per atom
crystal system: cubic

```
data_Li4SiP
_cell_length_a 4.930
_cell_length_b 4.930
_cell_length_c 4.930
_cell_angle_alpha 60.00
_cell_angle_beta 60.00
_cell_angle_gamma 60.00
_space_group_name_H-M_alt 'P 1'
_space_group_IT_number 1
loop_
_space_group_symop_operation_xyz
'x,y,z'
loop_
_atom_site_label
_atom_site_type_symbol
_atom_site_fract_x
_atom_site_fract_y
_atom_site_fract_z
_atom_site_occupancy
Li1 Li 0.125 0.125 0.125 1
Li2 Li 0.125 0.125 0.625 1
Li3 Li 0.125 0.625 0.125 1
Li4 Li 0.625 0.125 0.125 1
Si1 Si 0.500 0.500 0.500 1
P1 P 0.750 0.750 0.750 1
```

---

No. 3
Here is crystalline Na2NpOsN4 at its relaxed geometry from Alexandria via LeMat-Bulk. Energies are from GGA-PBE.

Values from the calculation:
ΔE_f (raw): -155 meV per atom
crystal system: tetragonal

```
data_Na2NpOsN4
_cell_length_a 5.378
_cell_length_b 5.378
_cell_length_c 9.472
_cell_angle_alpha 90.00
_cell_angle_beta 90.00
_cell_angle_gamma 90.00
_space_group_name_H-M_alt 'P 1'
_space_group_IT_number 1
loop_
_space_group_symop_operation_xyz
'x,y,z'
loop_
_atom_site_label
_atom_site_type_symbol
_atom_site_fract_x
_atom_site_fract_y
_atom_site_fract_z
_atom_site_occupancy
Na1 Na 0.000 0.000 0.000 1
Na2 Na 0.000 0.500 0.250 1
Na3 Na 0.500 0.000 0.750 1
Na4 Na 0.500 0.500 0.500 1
Np1 Np 0.000 0.000 0.500 1
Np2 Np 0.500 0.500 0.000 1
Os1 Os 0.000 0.500 0.750 1
Os2 Os 0.500 0.000 0.250 1
N1 N 0.173 0.279 0.637 1
N2 N 0.221 0.673 0.863 1
N3 N 0.279 0.827 0.363 1
N4 N 0.327 0.221 0.137 1
N5 N 0.673 0.779 0.137 1
N6 N 0.721 0.173 0.363 1
N7 N 0.779 0.327 0.863 1
N8 N 0.827 0.721 0.637 1
```

---

No. 4
Here is crystalline CsCeZn2F8 at its relaxed geometry from Alexandria via LeMat-Bulk. Energies are from GGA-PBE.

Values from the calculation:
ΔE_f (raw): -2890 meV per atom
crystal system: trigonal

```
data_CsCeZn2F8
_cell_length_a 8.853
_cell_length_b 8.853
_cell_length_c 8.853
_cell_angle_alpha 37.45
_cell_angle_beta 37.45
_cell_angle_gamma 37.45
_space_group_name_H-M_alt 'P 1'
_space_group_IT_number 1
loop_
_space_group_symop_operation_xyz
'x,y,z'
loop_
_atom_site_label
_atom_site_type_symbol
_atom_site_fract_x
_atom_site_fract_y
_atom_site_fract_z
_atom_site_occupancy
Cs1 Cs 0.000 0.000 0.000 1
Ce1 Ce 0.500 0.500 0.500 1
Zn1 Zn 0.255 0.255 0.255 1
Zn2 Zn 0.745 0.745 0.745 1
F1 F 0.100 0.761 0.475 1
F2 F 0.239 0.525 0.900 1
F3 F 0.330 0.330 0.330 1
F4 F 0.475 0.100 0.761 1
F5 F 0.525 0.900 0.239 1
F6 F 0.670 0.670 0.670 1
F7 F 0.761 0.475 0.100 1
F8 F 0.900 0.239 0.525 1
```

---

No. 5
Here is crystalline RbBa2GaRh at its relaxed geometry from Alexandria via LeMat-Bulk. Energies are from GGA-PBE.

Values from the calculation:
crystal system: tetragonal
total DFT energy (no corrections): -3.17 eV/atom

```
data_RbBa2GaRh
_cell_length_a 6.189
_cell_length_b 6.189
_cell_length_c 5.083
_cell_angle_alpha 90.00
_cell_angle_beta 90.00
_cell_angle_gamma 90.00
_space_group_name_H-M_alt 'P 1'
_space_group_IT_number 1
loop_
_space_group_symop_operation_xyz
'x,y,z'
loop_
_atom_site_label
_atom_site_type_symbol
_atom_site_fract_x
_atom_site_fract_y
_atom_site_fract_z
_atom_site_occupancy
Rb1 Rb 0.000 0.000 0.000 1
Ba1 Ba 0.000 0.500 0.500 1
Ba2 Ba 0.500 0.000 0.500 1
Ga1 Ga 0.500 0.500 0.000 1
Rh1 Rh 0.500 0.500 0.500 1
```

---

No. 6
Here is crystalline PmZrGa at its relaxed geometry from Alexandria via LeMat-Bulk. Energies are from GGA-PBE.

Values from the calculation:
crystal system: trigonal
total DFT energy (no corrections): -5.36 eV/atom

```
data_PmZrGa
_cell_length_a 5.072
_cell_length_b 5.072
_cell_length_c 3.074
_cell_angle_alpha 90.00
_cell_angle_beta 90.00
_cell_angle_gamma 120.00
_space_group_name_H-M_alt 'P 1'
_space_group_IT_number 1
loop_
_space_group_symop_operation_xyz
'x,y,z'
loop_
_atom_site_label
_atom_site_type_symbol
_atom_site_fract_x
_atom_site_fract_y
_atom_site_fract_z
_atom_site_occupancy
Pm1 Pm 0.000 0.000 0.000 1
Zr1 Zr 0.333 0.667 0.004 1
Ga1 Ga 0.667 0.333 0.500 1
```

---

No. 7
Here is crystalline KTlSbTe2 at its relaxed geometry from Alexandria via LeMat-Bulk. Energies are from GGA-PBE.

Values from the calculation:
ΔE_f (raw): 634 meV per atom
crystal system: tetragonal

```
data_KTlSbTe2
_cell_length_a 6.135
_cell_length_b 6.135
_cell_length_c 5.936
_cell_angle_alpha 90.00
_cell_angle_beta 90.00
_cell_angle_gamma 90.00
_space_group_name_H-M_alt 'P 1'
_space_group_IT_number 1
loop_
_space_group_symop_operation_xyz
'x,y,z'
loop_
_atom_site_label
_atom_site_type_symbol
_atom_site_fract_x
_atom_site_fract_y
_atom_site_fract_z
_atom_site_occupancy
K1 K 0.000 0.000 0.000 1
Tl1 Tl 0.500 0.500 0.500 1
Sb1 Sb 0.000 0.000 0.500 1
Te1 Te 0.000 0.500 0.000 1
Te2 Te 0.500 0.000 0.000 1
```

---

No. 8
Here is crystalline In2Ga2Pb at its relaxed geometry from Alexandria via LeMat-Bulk. Energies are from GGA-PBE.

Values from the calculation:
crystal system: orthorhombic
total DFT energy (no corrections): -3.00 eV/atom

```
data_In2Ga2Pb
_cell_length_a 4.229
_cell_length_b 16.180
_cell_length_c 3.677
_cell_angle_alpha 90.00
_cell_angle_beta 90.00
_cell_angle_gamma 90.00
_space_group_name_H-M_alt 'P 1'
_space_group_IT_number 1
loop_
_space_group_symop_operation_xyz
'x,y,z'
loop_
_atom_site_label
_atom_site_type_symbol
_atom_site_fract_x
_atom_site_fract_y
_atom_site_fract_z
_atom_site_occupancy
In1 In 0.000 0.124 0.000 1
In2 In 0.000 0.876 0.000 1
In3 In 0.500 0.376 0.000 1
In4 In 0.500 0.624 0.000 1
Ga1 Ga 0.000 0.301 0.500 1
Ga2 Ga 0.000 0.699 0.500 1
Ga3 Ga 0.500 0.199 0.500 1
Ga4 Ga 0.500 0.801 0.500 1
Pb1 Pb 0.000 0.500 0.500 1
Pb2 Pb 0.500 0.000 0.500 1
```

---

No. 9
Here is crystalline Tl2AgIr at its relaxed geometry from Alexandria via LeMat-Bulk. Energies are from GGA-PBE.

Values from the calculation:
crystal system: monoclinic
total DFT energy (no corrections): -3.72 eV/atom

```
data_Tl2AgIr
_cell_length_a 3.611
_cell_length_b 4.403
_cell_length_c 5.620
_cell_angle_alpha 90.00
_cell_angle_beta 108.68
_cell_angle_gamma 90.00
_space_group_name_H-M_alt 'P 1'
_space_group_IT_number 1
loop_
_space_group_symop_operation_xyz
'x,y,z'
loop_
_atom_site_label
_atom_site_type_symbol
_atom_site_fract_x
_atom_site_fract_y
_atom_site_fract_z
_atom_site_occupancy
Tl1 Tl 0.000 0.000 0.000 1
Tl2 Tl 0.291 0.500 0.584 1
Ag1 Ag 0.567 0.500 0.134 1
Ir1 Ir 0.731 0.000 0.465 1
```

---

No. 10
Here is crystalline NaAc3Sn2 at its relaxed geometry from Alexandria via LeMat-Bulk. Energies are from GGA-PBE.

Values from the calculation:
crystal system: monoclinic
total DFT energy (no corrections): -3.95 eV/atom

```
data_NaAc3Sn2
_cell_length_a 9.787
_cell_length_b 9.787
_cell_length_c 9.652
_cell_angle_alpha 100.45
_cell_angle_beta 100.45
_cell_angle_gamma 32.87
_space_group_name_H-M_alt 'P 1'
_space_group_IT_number 1
loop_
_space_group_symop_operation_xyz
'x,y,z'
loop_
_atom_site_label
_atom_site_type_symbol
_atom_site_fract_x
_atom_site_fract_y
_atom_site_fract_z
_atom_site_occupancy
Na1 Na 0.056 0.056 0.169 1
Na2 Na 0.944 0.944 0.831 1
Ac1 Ac 0.185 0.185 0.547 1
Ac2 Ac 0.316 0.316 0.929 1
Ac3 Ac 0.442 0.442 0.309 1
Ac4 Ac 0.558 0.558 0.691 1
Ac5 Ac 0.684 0.684 0.071 1
Ac6 Ac 0.815 0.815 0.453 1
Sn1 Sn 0.127 0.127 0.873 1
Sn2 Sn 0.378 0.378 0.630 1
Sn3 Sn 0.622 0.622 0.370 1
Sn4 Sn 0.873 0.873 0.127 1
```

---

No. 11
Here is crystalline YTlAg2Br6 at its relaxed geometry from Alexandria via LeMat-Bulk. Energies are from GGA-PBE.

Values from the calculation:
ΔE_f (raw): -1033 meV per atom
crystal system: trigonal

```
data_YTlAg2Br6
_cell_length_a 8.060
_cell_length_b 8.060
_cell_length_c 8.060
_cell_angle_alpha 54.87
_cell_angle_beta 54.87
_cell_angle_gamma 54.87
_space_group_name_H-M_alt 'P 1'
_space_group_IT_number 1
loop_
_space_group_symop_operation_xyz
'x,y,z'
loop_
_atom_site_label
_atom_site_type_symbol
_atom_site_fract_x
_atom_site_fract_y
_atom_site_fract_z
_atom_site_occupancy
Y1 Y 0.000 0.000 0.000 1
Tl1 Tl 0.519 0.519 0.519 1
Ag1 Ag 0.331 0.331 0.331 1
Ag2 Ag 0.812 0.812 0.812 1
Br1 Br 0.067 0.401 0.747 1
Br2 Br 0.170 0.977 0.591 1
Br3 Br 0.401 0.747 0.067 1
Br4 Br 0.591 0.170 0.977 1
Br5 Br 0.747 0.067 0.401 1
Br6 Br 0.977 0.591 0.170 1
```

---

No. 12
Here is crystalline GaSiMo at its relaxed geometry from Alexandria via LeMat-Bulk. Energies are from GGA-PBE.

Values from the calculation:
ΔE_f (raw): 399 meV per atom
crystal system: cubic

```
data_GaSiMo
_cell_length_a 5.889
_cell_length_b 5.889
_cell_length_c 5.889
_cell_angle_alpha 90.00
_cell_angle_beta 90.00
_cell_angle_gamma 90.00
_space_group_name_H-M_alt 'P 1'
_space_group_IT_number 1
loop_
_space_group_symop_operation_xyz
'x,y,z'
loop_
_atom_site_label
_atom_site_type_symbol
_atom_site_fract_x
_atom_site_fract_y
_atom_site_fract_z
_atom_site_occupancy
Ga1 Ga 0.186 0.314 0.686 1
Ga2 Ga 0.314 0.686 0.186 1
Ga3 Ga 0.686 0.186 0.314 1
Ga4 Ga 0.814 0.814 0.814 1
Si1 Si 0.022 0.978 0.478 1
Si2 Si 0.478 0.022 0.978 1
Si3 Si 0.522 0.522 0.522 1
Si4 Si 0.978 0.478 0.022 1
Mo1 Mo 0.071 0.071 0.071 1
Mo2 Mo 0.429 0.929 0.571 1
Mo3 Mo 0.571 0.429 0.929 1
Mo4 Mo 0.929 0.571 0.429 1
```